! Na2CeNiO4 PBE with a Hubbard U optimized geometry; values from VASP
&SYSTEM
  ibrav = 0, nat = 8, ntyp = 4
/
ATOMIC_SPECIES
Na 22.99 Na.upf
O 16.00 O.upf
Ce 140.12 Ce.upf
Ni 58.69 Ni.upf
CELL_PARAMETERS angstrom
-4.090 3.115 0.235
-0.519 -4.138 3.015
4.283 2.266 1.733
ATOMIC_POSITIONS crystal
Na 0.000 0.000 0.000
Na 0.500 0.750 0.250
O 0.083 0.284 0.739
O 0.917 0.656 0.201
O 0.455 0.799 0.716
O 0.545 0.261 0.344
Ce 0.500 0.250 0.750
Ni 0.000 0.500 0.500
! Symmetry: I-4 (82)
! Raw total energy: -5.778 eV per atom